{"formula": "Ag2PbC2", "functional": "PBE", "state": "relaxed", "magnetic_moment_mub_per_cell": 0.00, "relative_energy_ev_per_fu": 0.000, "formation_energy_ev_per_atom": 1.7308, "energy_ev_per_atom": -3.8410, "cell": [[-4.2144, -0.0994, 0.2612], [0.0524, -4.1585, -0.7370], [-1.7767, -2.9404, 4.3620]], "species": ["C", "C", "Ag", "Pb", "Ag"], "frac_coords": [[0.7500, 0.2500, 0.5000], [0.2500, 0.7500, 0.5000], [0.3370, 0.3370, 0.3260], [0.0000, 0.0000, 0.0000], [0.6630, 0.6630, 0.6740]]}